PBE BaSc2Zn, relaxed; electronic total energy = -3.409 eV/atom; SG = I4_1/amd (141); calculated volume = 301 Å³ per cell
1.0
-1.796 -3.862 -3.678
4.842 -2.807 0.583
-2.257 -8.372 5.588
Zn Ba Sc
2 2 4
Cartesian
2.054 -7.257 2.312
1.523 -3.335 -1.547
-1.265 -7.784 0.181
0.000 0.000 0.000
-0.238 -11.413 1.337
1.788 -5.296 0.382
-0.633 -3.892 0.091
0.660 -9.482 3.176